LiSn2TeH | PBE | optimized geometry

Results
ρ   5.51 g cm⁻³
Raw total energy   -16.3 eV per cell

```
data_LiSn2TeH
_chemical_formula_sum 'Li1 Sn2 Te1 H1'
_cell_length_a 4.401
_cell_length_b 4.401
_cell_length_c 5.800
_cell_angle_alpha 90.00
_cell_angle_beta 90.00
_cell_angle_gamma 90.00
_space_group_name_H-M_alt 'P 4/m m m'
_space_group_IT_number 123
_space_group_name_Hall '-P 4 2'
loop_
_atom_site_label
_atom_site_type_symbol
_atom_site_fract_x
_atom_site_fract_y
_atom_site_fract_z
_atom_site_occupancy
Li1 Li 0.000 0.000 0.000 1
Sn1 Sn 0.000 0.500 0.500 1
Te1 Te 0.500 0.500 0.000 1
H1 H 0.500 0.500 0.500 1
```

=====

Li2TiSnH | PBE | optimized geometry

Results
ρ   4.34 g cm⁻³
Raw total energy   -20.7 eV per cell

```
data_Li2TiSnH
_chemical_formula_sum 'Li2 Ti1 Sn1 H1'
_cell_length_a 4.038
_cell_length_b 4.038
_cell_length_c 4.254
_cell_angle_alpha 90.00
_cell_angle_beta 90.00
_cell_angle_gamma 90.00
_space_group_name_H-M_alt 'P 4/m m m'
_space_group_IT_number 123
_space_group_name_Hall '-P 4 2'
loop_
_atom_site_label
_atom_site_type_symbol
_atom_site_fract_x
_atom_site_fract_y
_atom_site_fract_z
_atom_site_occupancy
Li1 Li 0.000 0.500 0.000 1
Ti1 Ti 0.000 0.000 0.500 1
Sn1 Sn 0.500 0.500 0.500 1
H1 H 0.000 0.000 0.000 1
```

=====

LiV2SnH | PBE | optimized geometry

Results
ρ   6.09 g cm⁻³
Raw total energy   -27.9 eV per cell

```
data_LiV2SnH
_chemical_formula_sum 'Li1 V2 Sn1 H1'
_cell_length_a 3.800
_cell_length_b 3.800
_cell_length_c 4.317
_cell_angle_alpha 90.00
_cell_angle_beta 90.00
_cell_angle_gamma 90.00
_space_group_name_H-M_alt 'P 4/m m m'
_space_group_IT_number 123
_space_group_name_Hall '-P 4 2'
loop_
_atom_site_label
_atom_site_type_symbol
_atom_site_fract_x
_atom_site_fract_y
_atom_site_fract_z
_atom_site_occupancy
Li1 Li 0.000 0.000 0.000 1
V1 V 0.000 0.500 0.500 1
Sn1 Sn 0.500 0.500 0.000 1
H1 H 0.000 0.000 0.500 1
```

=====

Li2YSnH | PBE | optimized geometry

Results
ρ   4.14 g cm⁻³
Raw total energy   -20.2 eV per cell

```
data_Li2YSnH
_chemical_formula_sum 'Li2 Y1 Sn1 H1'
_cell_length_a 4.355
_cell_length_b 4.355
_cell_length_c 4.704
_cell_angle_alpha 90.00
_cell_angle_beta 90.00
_cell_angle_gamma 90.00
_space_group_name_H-M_alt 'P 4/m m m'
_space_group_IT_number 123
_space_group_name_Hall '-P 4 2'
loop_
_atom_site_label
_atom_site_type_symbol
_atom_site_fract_x
_atom_site_fract_y
_atom_site_fract_z
_atom_site_occupancy
Li1 Li 0.000 0.500 0.000 1
Y1 Y 0.000 0.000 0.500 1
Sn1 Sn 0.500 0.500 0.500 1
H1 H 0.000 0.000 0.000 1
```

=====

Li2ZnSnH | PBE | optimized geometry

Results
ρ   4.61 g cm⁻³
Raw total energy   -13.5 eV per cell
Polymorph energy (0 for the lowest one)   0 meV per atom

```
data_Li2ZnSnH
_chemical_formula_sum 'Li2 Zn1 Sn1 H1'
_cell_length_a 4.407
_cell_length_b 4.407
_cell_length_c 3.694
_cell_angle_alpha 90.00
_cell_angle_beta 90.00
_cell_angle_gamma 90.00
_space_group_name_H-M_alt 'P 4/m m m'
_space_group_IT_number 123
_space_group_name_Hall '-P 4 2'
loop_
_atom_site_label
_atom_site_type_symbol
_atom_site_fract_x
_atom_site_fract_y
_atom_site_fract_z
_atom_site_occupancy
Li1 Li 0.000 0.500 0.000 1
Zn1 Zn 0.000 0.000 0.500 1
Sn1 Sn 0.500 0.500 0.500 1
H1 H 0.000 0.000 0.000 1
```

=====

LiZn2SnH | PBE | optimized geometry

Results
ρ   5.78 g cm⁻³
Raw total energy   -11.8 eV per cell

```
data_LiZn2SnH
_chemical_formula_sum 'Li1 Zn2 Sn1 H1'
_cell_length_a 4.296
_cell_length_b 4.296
_cell_length_c 4.011
_cell_angle_alpha 90.00
_cell_angle_beta 90.00
_cell_angle_gamma 90.00
_space_group_name_H-M_alt 'P 4/m m m'
_space_group_IT_number 123
_space_group_name_Hall '-P 4 2'
loop_
_atom_site_label
_atom_site_type_symbol
_atom_site_fract_x
_atom_site_fract_y
_atom_site_fract_z
_atom_site_occupancy
Li1 Li 0.000 0.000 0.000 1
Zn1 Zn 0.000 0.500 0.500 1
Sn1 Sn 0.500 0.500 0.000 1
H1 H 0.000 0.000 0.500 1
```

=====

Li2ZnSnH | PBE | optimized geometry

Results
ρ   4.38 g cm⁻³
Raw total energy   -12.9 eV per cell
Polymorph energy (0 for the lowest one)   109 meV per atom

```
data_Li2ZnSnH
_chemical_formula_sum 'Li2 Zn1 Sn1 H1'
_cell_length_a 4.111
_cell_length_b 4.111
_cell_length_c 4.465
_cell_angle_alpha 90.00
_cell_angle_beta 90.00
_cell_angle_gamma 90.00
_space_group_name_H-M_alt 'P 4/m m m'
_space_group_IT_number 123
_space_group_name_Hall '-P 4 2'
loop_
_atom_site_label
_atom_site_type_symbol
_atom_site_fract_x
_atom_site_fract_y
_atom_site_fract_z
_atom_site_occupancy
Li1 Li 0.000 0.500 0.000 1
Zn1 Zn 0.000 0.000 0.500 1
Sn1 Sn 0.500 0.500 0.500 1
H1 H 0.500 0.500 0.000 1
```

=====

Li2ZrSnH | PBE | optimized geometry

Results
ρ   4.87 g cm⁻³
Raw total energy   -21.8 eV per cell

```
data_Li2ZrSnH
_chemical_formula_sum 'Li2 Zr1 Sn1 H1'
_cell_length_a 4.186
_cell_length_b 4.186
_cell_length_c 4.377
_cell_angle_alpha 90.00
_cell_angle_beta 90.00
_cell_angle_gamma 90.00
_space_group_name_H-M_alt 'P 4/m m m'
_space_group_IT_number 123
_space_group_name_Hall '-P 4 2'
loop_
_atom_site_label
_atom_site_type_symbol
_atom_site_fract_x
_atom_site_fract_y
_atom_site_fract_z
_atom_site_occupancy
Li1 Li 0.000 0.500 0.000 1
Zr1 Zr 0.000 0.000 0.500 1
Sn1 Sn 0.500 0.500 0.500 1
H1 H 0.000 0.000 0.000 1
```

=====

LiZr2SnH | PBE | optimized geometry

Results
ρ   6.15 g cm⁻³
Raw total energy   -28.5 eV per cell

```
data_LiZr2SnH
_chemical_formula_sum 'Li1 Zr2 Sn1 H1'
_cell_length_a 4.345
_cell_length_b 4.345
_cell_length_c 4.422
_cell_angle_alpha 90.00
_cell_angle_beta 90.00
_cell_angle_gamma 90.00
_space_group_name_H-M_alt 'P 4/m m m'
_space_group_IT_number 123
_space_group_name_Hall '-P 4 2'
loop_
_atom_site_label
_atom_site_type_symbol
_atom_site_fract_x
_atom_site_fract_y
_atom_site_fract_z
_atom_site_occupancy
Li1 Li 0.000 0.000 0.000 1
Zr1 Zr 0.000 0.500 0.500 1
Sn1 Sn 0.500 0.500 0.000 1
H1 H 0.000 0.000 0.500 1
```

=====

Sr2LiH4 | PBE | optimized geometry

Results
ρ   3.18 g cm⁻³
Raw total energy   -43.1 eV per cell

```
data_Sr2LiH4
_chemical_formula_sum 'Sr4 Li2 H8'
_cell_length_a 3.856
_cell_length_b 3.856
_cell_length_c 13.092
_cell_angle_alpha 90.00
_cell_angle_beta 90.00
_cell_angle_gamma 90.00
_space_group_name_H-M_alt 'I 4/m m m'
_space_group_IT_number 139
_space_group_name_Hall '-I 4 2'
loop_
_atom_site_label
_atom_site_type_symbol
_atom_site_fract_x
_atom_site_fract_y
_atom_site_fract_z
_atom_site_occupancy
Sr1 Sr 0.000 0.000 0.141 1
Li1 Li 0.000 0.000 0.500 1
H1 H 0.000 0.000 0.337 1
H2 H 0.000 0.500 0.000 1
```

=====

Sr3Li5H12 | PBE | optimized geometry

Results
ρ   2.02 g cm⁻³
Raw total energy   -486.6 eV per cell

```
data_Sr3Li5H12
_chemical_formula_sum 'Sr24 Li40 H96'
_cell_length_a 12.681
_cell_length_b 12.681
_cell_length_c 12.681
_cell_angle_alpha 90.00
_cell_angle_beta 90.00
_cell_angle_gamma 90.00
_space_group_name_H-M_alt 'I a -3 d'
_space_group_IT_number 230
_space_group_name_Hall '-I 4bd 2c 3'
loop_
_atom_site_label
_atom_site_type_symbol
_atom_site_fract_x
_atom_site_fract_y
_atom_site_fract_z
_atom_site_occupancy
Sr1 Sr 0.000 0.250 0.125 1
Li1 Li 0.000 0.000 0.000 1
Li2 Li 0.000 0.250 0.375 1
H1 H 0.029 0.055 0.650 1
```

=====

SrLiH | PBE | optimized geometry

Results
ρ   2.11 g cm⁻³
Raw total energy   -15.4 eV per cell
Polymorph energy (0 for the lowest one)   0 meV per atom

```
data_SrLiH
_chemical_formula_sum 'Sr2 Li2 H2'
_cell_length_a 5.526
_cell_length_b 4.224
_cell_length_c 6.911
_cell_angle_alpha 90.00
_cell_angle_beta 111.29
_cell_angle_gamma 90.00
_space_group_name_H-M_alt 'P 1 21/m 1'
_space_group_IT_number 11
loop_
_space_group_symop_operation_xyz
'x,y,z'
'-x,-y,-z'
'-x,y+1/2,-z'
'x,-y+1/2,z'
loop_
_atom_site_label
_atom_site_type_symbol
_atom_site_fract_x
_atom_site_fract_y
_atom_site_fract_z
_atom_site_occupancy
Sr1 Sr 0.110 0.250 0.302 1
Li1 Li 0.412 0.250 0.845 1
H1 H 0.087 0.250 0.651 1
```